Compound: Cu2OsPb
Source: Alexandria
Functional: PBE-GGA
Structure: relaxed

extended XYZ file:
```
4
Lattice="4.4145 -1.4381 0.0000 4.4145 1.4381 0.0000 -0.8334 0.0000 5.1898" Properties=species:S:1:pos:R:3 pbc="T T T"
Cu 0.0000 0.0000 0.0000
Cu 6.3753 0.0000 0.9906
Os 1.6673 0.0000 4.0639
Pb 4.0537 0.0000 2.5616
```

The calculation puts the energy relative to the elements at 657 meV per atom. As for the space group: Cm, No. 8. The value obtained for the energy is -5.13 eV per atom.